Record 1
A plane-wave DFT calculation with PBE was carried out for an optimized crystal structure of Ce2GePd.

```
Ce2GePd
1.0
4.3111 0.0000 0.0000
0.0000 4.4729 0.0000
0.0000 0.0000 4.4729
Ge Pd Ce
1 1 2
Direct
0.5000 0.0000 0.0000
0.5000 0.5000 0.5000
0.0000 0.0000 0.5000
0.0000 0.5000 0.0000
```

Computed properties:
crystal system	tetragonal
ΔE_f	-0.623	eV/atom
DFT total energy	-6.043	eV per atom
magnetization	0.0	μB per formula unit

---

Record 2
A plane-wave DFT calculation with PBE was carried out for an optimized crystal structure of ErBi2Se4.

```
ErBi2Se4
1.0
3.8713 0.0000 0.0000
-1.9356 7.4954 0.0000
0.0000 0.0000 13.7407
Er Bi Se
2 4 8
Direct
0.6130 0.2261 0.7500
0.3870 0.7739 0.2500
0.1327 0.2654 0.4284
0.8673 0.7346 0.9284
0.1327 0.2654 0.0716
0.8673 0.7346 0.5716
0.7966 0.5932 0.1244
0.7966 0.5932 0.3756
0.2034 0.4068 0.8756
0.2034 0.4068 0.6244
0.9759 0.9518 0.7500
0.0241 0.0482 0.2500
0.5000 0.0000 0.0000
0.5000 0.0000 0.5000
```

Computed properties:
crystal system	orthorhombic
DFT total energy	-4.522	eV per atom
magnetization	0.0	μB per formula unit
formation energy from raw total energies	-0.770	eV per atom

---

> Among the records above, which one has the highest DFT total energy?

ErBi2Se4

---

> The highest DFT total energy belongs to which entry?

ErBi2Se4